A plane-wave DFT calculation with GGA+U was carried out for an optimized crystal structure of SrCaNdMnO6.

Total DFT energy (no corrections) ... -6.829 eV per atom
Crystal system ... cubic

a = 8.117 Å, b = 8.117 Å, c = 8.117 Å
α = 90.00°, β = 90.00°, γ = 90.00°
Space group F-43m (No. 216)
Unique sites:
Sr1 0.000 0.000 0.000 (multiplicity 4)
Ca1 0.250 0.250 0.250 (multiplicity 4)
Nd1 0.000 0.000 0.500 (multiplicity 4)
Mn1 0.250 0.250 0.750 (multiplicity 4)
O1 0.018 0.250 0.750 (multiplicity 24)